Record 1
# TaZn2Au GGA-PBE optimized geometry
data_TaZn2Au
_space_group_name_H-M_alt 'F m -3 m'
_space_group_IT_number 225
_space_group_name_Hall '-F 4 2 3'
_cell_length_a 6.355
_cell_length_b 6.355
_cell_length_c 6.355
_cell_angle_alpha 90.00
_cell_angle_beta 90.00
_cell_angle_gamma 90.00
loop_
_atom_site_label
_atom_site_type_symbol
_atom_site_fract_x
_atom_site_fract_y
_atom_site_fract_z
_atom_site_occupancy
Ta1 Ta 0.000 0.000 0.000 1
Zn1 Zn 0.250 0.250 0.250 1
Au1 Au 0.000 0.000 0.500 1
# Volume   16.0 Å³/atom
# Formation energy   0.175 eV per atom
# Crystal system   cubic


Record 2
# TaZn4Au GGA-PBE optimized geometry
data_TaZn4Au
_space_group_name_H-M_alt 'F -4 3 m'
_space_group_IT_number 216
_space_group_name_Hall 'F -4 2 3'
_cell_length_a 7.185
_cell_length_b 7.185
_cell_length_c 7.185
_cell_angle_alpha 90.00
_cell_angle_beta 90.00
_cell_angle_gamma 90.00
loop_
_atom_site_label
_atom_site_type_symbol
_atom_site_fract_x
_atom_site_fract_y
_atom_site_fract_z
_atom_site_occupancy
Ta1 Ta 0.000 0.000 0.000 1
Zn1 Zn 0.126 0.126 0.626 1
Au1 Au 0.250 0.250 0.250 1
# Volume   15.5 Å³/atom
# Formation energy   0.182 eV per atom
# Crystal system   cubic


Record 3
# TaZnAu2 GGA-PBE optimized geometry
data_TaZnAu2
_space_group_name_H-M_alt 'P 4 m m'
_space_group_IT_number 99
_cell_length_a 2.916
_cell_length_b 2.916
_cell_length_c 8.016
_cell_angle_alpha 90.00
_cell_angle_beta 90.00
_cell_angle_gamma 90.00
loop_
_space_group_symop_operation_xyz
'x,y,z'
'-y,x,z'
'-x,-y,z'
'y,-x,z'
'-x,y,z'
'y,x,z'
'x,-y,z'
'-y,-x,z'
loop_
_atom_site_label
_atom_site_type_symbol
_atom_site_fract_x
_atom_site_fract_y
_atom_site_fract_z
_atom_site_occupancy
Ta1 Ta 0.000 0.000 0.000 1
Zn1 Zn 0.500 0.500 0.237 1
Au1 Au 0.000 0.000 0.468 1
Au2 Au 0.500 0.500 0.745 1
# Volume   17.0 Å³/atom
# Formation energy   -0.073 eV per atom
# Crystal system   tetragonal


Record 4
# TaZn2Au GGA-PBE optimized geometry
data_TaZn2Au
_space_group_name_H-M_alt 'R -3 m'
_space_group_IT_number 166
_space_group_name_Hall '-R 3 2"'
_cell_length_a 2.9146
_cell_length_b 2.9146
_cell_length_c 27.2622
_cell_angle_alpha 90.00
_cell_angle_beta 90.00
_cell_angle_gamma 120.00
loop_
_atom_site_label
_atom_site_type_symbol
_atom_site_fract_x
_atom_site_fract_y
_atom_site_fract_z
_atom_site_occupancy
Ta1 Ta 0.0000 0.0000 0.0000 1
Zn1 Zn 0.0000 0.0000 0.2484 1
Au1 Au 0.0000 0.0000 0.5000 1
# Volume   16.7 Å³/atom
# Formation energy   0.034 eV per atom
# Crystal system   trigonal


Record 5
# TaZnAu2 GGA-PBE optimized geometry
data_TaZnAu2
_space_group_name_H-M_alt 'R 3 m'
_space_group_IT_number 160
_space_group_name_Hall 'R 3 -2"'
_cell_length_a 2.9524
_cell_length_b 2.9524
_cell_length_c 27.7077
_cell_angle_alpha 90.00
_cell_angle_beta 90.00
_cell_angle_gamma 120.00
loop_
_atom_site_label
_atom_site_type_symbol
_atom_site_fract_x
_atom_site_fract_y
_atom_site_fract_z
_atom_site_occupancy
Ta1 Ta 0.0000 0.0000 0.0000 1
Zn1 Zn 0.0000 0.0000 0.2497 1
Au1 Au 0.0000 0.0000 0.5058 1
Au2 Au 0.0000 0.0000 0.7497 1
# Volume   17.4 Å³/atom
# Formation energy   0.025 eV per atom
# Crystal system   trigonal


Record 6
# TaZn2Au GGA-PBE optimized geometry
data_TaZn2Au
_space_group_name_H-M_alt 'P 1 2/m 1'
_space_group_IT_number 10
_cell_length_a 2.851
_cell_length_b 4.364
_cell_length_c 5.356
_cell_angle_alpha 90.00
_cell_angle_beta 90.13
_cell_angle_gamma 90.00
loop_
_space_group_symop_operation_xyz
'x,y,z'
'-x,-y,-z'
'-x,y,-z'
'x,-y,z'
loop_
_atom_site_label
_atom_site_type_symbol
_atom_site_fract_x
_atom_site_fract_y
_atom_site_fract_z
_atom_site_occupancy
Ta1 Ta 0.000 0.000 0.000 1
Zn1 Zn 0.497 0.500 0.768 1
Au1 Au 0.500 0.000 0.500 1
# Volume   16.7 Å³/atom
# Formation energy   0.004 eV per atom
# Crystal system   monoclinic


> Which value of volume does entry 6 give?

16.7 Å³/atom